## La2SbS (PBE-GGA)

Data for crystalline La2SbS at its relaxed geometry.

- crystal system = trigonal
- SG = R3m (160)
- formation energy without anion corrections (eV/atom) = -1.531
- total energy (eV per atom) = -6.06
- relative energy among the computed polymorphs (meV/atom) = 154

The structure in POSCAR format:
```
La2SbS
1.0
4.287 0.000 0.000
-2.143 3.713 0.000
0.000 0.000 23.129
La Sb S
6 3 3
Cartesian
0.000 0.000 0.000
0.000 0.000 3.760
0.000 2.475 15.419
0.000 2.475 19.179
2.143 1.238 7.710
2.143 1.238 11.470
0.000 0.000 13.436
0.000 2.475 5.726
2.143 1.238 21.145
0.000 0.000 17.350
0.000 2.475 9.640
2.143 1.238 1.930
```

## MgMn4Al (PBE-GGA)

Data for crystalline MgMn4Al at its relaxed geometry.

- crystal system = cubic
- DFT formation energy (eV per formula unit) = 0.5
- SG = F-43m (216)
- total energy (eV per atom) = -6.91

The structure in POSCAR format:
```
MgMn4Al
1.0
0.000 3.360 3.360
3.360 0.000 3.360
3.360 3.360 0.000
Mg Mn Al
1 4 1
Cartesian
0.000 0.000 0.000
4.199 2.522 2.522
2.522 4.199 2.522
2.522 2.522 4.199
4.199 4.199 4.199
1.680 1.680 1.680
```

## ZrCu2Ru (PBE-GGA)

Data for crystalline ZrCu2Ru at its relaxed geometry.

- crystal system = tetragonal
- DFT formation energy (eV per formula unit) = -0.5
- SG = I-4m2 (119)
- total energy (eV per atom) = -6.64
- relative energy among the computed polymorphs (meV/atom) = 91

The structure in POSCAR format:
```
ZrCu2Ru
1.0
3.943 0.000 0.000
0.000 3.943 0.000
0.000 0.000 7.735
Zr Cu Ru
2 4 2
Cartesian
0.000 0.000 0.000
1.971 1.971 3.867
0.000 0.000 3.867
0.000 1.971 1.934
1.971 0.000 5.801
1.971 1.971 0.000
0.000 1.971 5.801
1.971 0.000 1.934
```

## GaPt2WS (PBE-GGA)

Data for crystalline GaPt2WS at its relaxed geometry.

- crystal system = tetragonal
- SG = P4/mmm (123)
- formation energy without anion corrections (eV/atom) = 1.037
- total energy (eV per atom) = -5.40

The structure in POSCAR format:
```
GaPt2WS
1.0
4.471 0.000 0.000
0.000 4.471 0.000
0.000 0.000 4.604
Ga Pt W S
1 2 1 1
Cartesian
0.000 0.000 0.000
0.000 2.235 2.302
2.235 0.000 2.302
2.235 2.235 0.000
0.000 0.000 2.302
```